PmCd2Sn | PBE | relaxed

Cell lengths 5.8581, 5.1599, 5.1599 Å; angles 60.00, 90.00, 90.00 degrees
Fractional coordinates of all 4 atoms:
Sn: 0.5000 0.6667 0.6667
Pm: 0.0000 0.0000 0.0000
Cd: 0.5000 0.3333 0.3333
Cd: 0.5000 0.0000 0.0000

Summary:
Formation enthalpy at 0 K: 0.348 eV per atom
Crystal system: hexagonal

***

La2Pm5Cd | PBE | relaxed

Cell lengths 6.3396, 5.2542, 17.7550 Å; angles 90.00, 90.00, 65.57 degrees
Fractional coordinates of all 16 atoms:
La: 0.2094 0.1451 0.9580
Pm: 0.9904 0.2547 0.1527
Pm: 0.6003 0.4499 0.9045
Pm: 0.3997 0.5501 0.4045
Pm: 0.5671 0.9664 0.2500
La: 0.2094 0.1451 0.5420
Cd: 0.8686 0.3160 0.7500
Pm: 0.3997 0.5501 0.0955
Pm: 0.0096 0.7453 0.8473
Pm: 0.0096 0.7453 0.6527
Pm: 0.4329 0.0336 0.7500
Pm: 0.9904 0.2547 0.3473
Cd: 0.1314 0.6840 0.2500
La: 0.7906 0.8549 0.4580
La: 0.7906 0.8549 0.0420
Pm: 0.6003 0.4499 0.5955

Summary:
Formation enthalpy at 0 K: -0.023 eV per atom
Crystal system: orthorhombic

***

YMn2Pb | PBE | relaxed

Cell lengths 6.0409, 6.0409, 6.0409 Å; angles 40.98, 40.98, 40.98 degrees
Site moments in Bohr magnetons follow the coordinates.
Fractional coordinates of all 4 atoms:
Mn: 0.9516 0.9516 0.9516  -2.44
Y: 0.7360 0.7360 0.7360  0.05
Mn: 0.2826 0.2826 0.2826  2.97
Pb: 0.5299 0.5299 0.5299  0.01

Summary:
Formation enthalpy at 0 K: 0.057 eV per atom
Crystal system: trigonal

***

Th6AgSb5 | PBE | relaxed

Cell lengths 7.7562, 7.7562, 7.7661 Å; angles 99.64, 99.64, 119.82 degrees
Fractional coordinates of all 12 atoms:
Sb: 0.1722 0.8278 0.5000
Sb: 0.3353 0.6647 0.0000
Ag: 0.0000 0.0000 0.0000
Th: 0.4081 0.0802 0.2435
Th: 0.0802 0.4081 0.2435
Sb: 0.6647 0.3353 0.0000
Sb: 0.8278 0.1722 0.5000
Th: 0.9198 0.5919 0.7565
Th: 0.2438 0.2438 0.7494
Th: 0.5919 0.9198 0.7565
Sb: 0.5000 0.5000 0.5000
Th: 0.7562 0.7562 0.2506

Summary:
Raw formation energy: -0.723 eV per atom
Crystal system: monoclinic

***

LiNbZn | PBE | relaxed

Cell lengths 5.6265, 3.9978, 8.4581 Å; angles 90.00, 90.00, 90.00 degrees
Fractional coordinates of all 12 atoms:
Zn: 0.6330 0.7500 0.9065
Zn: 0.1330 0.7500 0.5935
Li: 0.3980 0.2500 0.7687
Li: 0.6020 0.7500 0.2313
Nb: 0.1251 0.7500 0.9270
Zn: 0.8670 0.2500 0.4065
Nb: 0.3749 0.2500 0.4270
Li: 0.1020 0.7500 0.2687
Nb: 0.8749 0.2500 0.0730
Zn: 0.3670 0.2500 0.0935
Nb: 0.6251 0.7500 0.5730
Li: 0.8980 0.2500 0.7313

Summary:
Formation enthalpy at 0 K: 0.134 eV per atom
Energy above the most stable polymorph in this dataset: 0.183 eV/atom
Crystal system: orthorhombic

***

ZrHPt | PBE | relaxed

Cell lengths 4.5001, 3.3672, 10.7748 Å; angles 90.00, 93.47, 90.00 degrees
Fractional coordinates of all 12 atoms:
Pt: 0.5788 0.0000 0.3468
Zr: 0.5412 0.5000 0.1279
H: 0.7831 0.0000 0.0629
Zr: 0.0773 0.5000 0.4144
Zr: 0.5412 0.0000 0.6279
H: 0.7831 0.5000 0.5629
Pt: 0.5788 0.5000 0.8468
Pt: 0.0618 0.5000 0.6929
Zr: 0.0773 0.0000 0.9144
Pt: 0.0618 0.0000 0.1929
H: 0.1566 0.0000 0.5169
H: 0.1566 0.5000 0.0169

Summary:
Energy above the most stable polymorph in this dataset: 0.101 eV/atom
Crystal system: monoclinic

***

no.,total magnetization (μB/atom)
1,0.000
2,0.000
3,0.178
4,0.000
5,0.000
6,0.000